Record 1
The following is a DFT calculation (PBE) of LiZn2W after structural relaxation.

a = 3.9660 Å, b = 3.9660 Å, c = 3.6176 Å
α = 90.00°, β = 90.00°, γ = 90.00°
Fractional coordinates of all 4 atoms:
Li: 0.0000 0.0000 0.0000
Zn: 0.0000 0.5000 0.5000
Zn: 0.5000 0.0000 0.5000
W: 0.5000 0.5000 0.0000

Output
ΔH_f (0 K): 0.256 eV per atom
symmetry: P4/mmm (123)
energy above the lowest structure with this stoichiometry: 181 meV/atom
crystal system: tetragonal

Record 2
The following is a DFT calculation (PBE) of LiZn2W after structural relaxation.

a = 2.6411 Å, b = 4.7464 Å, c = 4.7689 Å
α = 90.00°, β = 90.00°, γ = 90.00°
Fractional coordinates of all 4 atoms:
Li: 0.0000 0.0000 0.0000
Zn: 0.5000 0.0000 0.5093
Zn: 0.5000 0.5000 0.0517
W: 0.0000 0.5000 0.5512

Output
ΔH_f (0 K): 0.102 eV per atom
symmetry: Pmm2 (25)
energy above the lowest structure with this stoichiometry: 26 meV/atom
crystal system: orthorhombic

Record 3
The following is a DFT calculation (PBE) of Li2ZnW after structural relaxation.

a = 4.7158 Å, b = 4.7158 Å, c = 2.5882 Å
α = 90.00°, β = 90.00°, γ = 90.00°
Fractional coordinates of all 4 atoms:
Li: 0.0000 0.5000 0.0000
Li: 0.5000 0.0000 0.0000
Zn: 0.0000 0.0000 0.5000
W: 0.5000 0.5000 0.5000

Output
ΔH_f (0 K): 0.571 eV per atom
symmetry: P4/mmm (123)
crystal system: tetragonal

Record 4
The following is a DFT calculation (PBE) of Li2ZnW after structural relaxation.

a = 5.4334 Å, b = 5.4334 Å, c = 5.4334 Å
α = 102.98°, β = 102.98°, γ = 123.41°
Fractional coordinates of all 8 atoms:
Li: 0.0987 0.6250 0.9737
Li: 0.3750 0.3487 0.4737
Li: 0.6513 0.1250 0.0263
Li: 0.8750 0.9013 0.5263
Zn: 0.0000 0.0000 0.0000
Zn: 0.7500 0.2500 0.5000
W: 0.2500 0.7500 0.5000
W: 0.5000 0.5000 0.0000

Output
ΔH_f (0 K): 0.893 eV per atom
symmetry: I-42d (122)
crystal system: tetragonal

Record 5
The following is a DFT calculation (PBE) of Li2ZnW after structural relaxation.

a = 5.6686 Å, b = 5.6686 Å, c = 5.6686 Å
α = 154.13°, β = 129.69°, γ = 57.42°
Fractional coordinates of all 4 atoms:
Li: 0.2316 0.2316 0.0000
Li: 0.7684 0.7684 0.0000
Zn: 0.0000 0.5000 0.5000
W: 0.5000 0.0000 0.5000

Output
ΔH_f (0 K): 0.319 eV per atom
symmetry: Immm (71)
crystal system: orthorhombic

Record 6
The following is a DFT calculation (PBE) of Li4ZnW after structural relaxation.

a = 4.9583 Å, b = 4.9583 Å, c = 4.9583 Å
α = 60.00°, β = 60.00°, γ = 60.00°
Fractional coordinates of all 6 atoms:
Li: 0.1243 0.1243 0.1243
Li: 0.1243 0.1243 0.6270
Li: 0.1243 0.6270 0.1243
Li: 0.6270 0.1243 0.1243
Zn: 0.5000 0.5000 0.5000
W: 0.7500 0.7500 0.7500

Output
ΔH_f (0 K): 0.559 eV per atom
symmetry: F-43m (216)
crystal system: cubic

Record 7
The following is a DFT calculation (PBE) of LiZn2W after structural relaxation.

a = 4.8640 Å, b = 4.8640 Å, c = 2.6024 Å
α = 90.00°, β = 90.00°, γ = 105.74°
Fractional coordinates of all 4 atoms:
Li: 0.0000 0.0000 0.0000
Zn: 0.0000 0.5000 0.5000
Zn: 0.5000 0.0000 0.5000
W: 0.5000 0.5000 0.0000

Output
ΔH_f (0 K): 0.082 eV per atom
symmetry: Cmmm (65)
energy above the lowest structure with this stoichiometry: 7 meV/atom
crystal system: orthorhombic

Record 8
The following is a DFT calculation (PBE) of Li2ZnW after structural relaxation.

a = 5.0561 Å, b = 5.0561 Å, c = 5.0561 Å
α = 136.44°, β = 136.44°, γ = 63.30°
Fractional coordinates of all 4 atoms:
Li: 0.2500 0.7500 0.5000
Li: 0.7500 0.2500 0.5000
Zn: 0.0000 0.0000 0.0000
W: 0.5000 0.5000 0.0000

Output
ΔH_f (0 K): 0.636 eV per atom
symmetry: I4/mmm (139)
crystal system: tetragonal